No. 1
# PBE-GGA Ce2InHg4, optimized geometry
data_Ce2InHg4
_chemical_formula_sum 'Ce2 In1 Hg4'
_space_group_name_H-M_alt 'P 1'
_space_group_IT_number 1
_cell_length_a 5.3666
_cell_length_b 5.3666
_cell_length_c 8.9159
_cell_angle_alpha 107.52
_cell_angle_beta 107.52
_cell_angle_gamma 90.00
loop_
_space_group_symop_operation_xyz
'x,y,z'
loop_
_atom_site_label
_atom_site_type_symbol
_atom_site_fract_x
_atom_site_fract_y
_atom_site_fract_z
Ce1 Ce 0.6219 0.6219 0.2439
Ce2 Ce 0.3781 0.3781 0.7561
In1 In 0.0000 0.0000 0.0000
Hg1 Hg 0.8145 0.8145 0.6289
Hg2 Hg 0.1855 0.1855 0.3711
Hg3 Hg 0.0000 0.5000 0.0000
Hg4 Hg 0.5000 0.0000 0.0000
# energy of formation: 0.121 eV/atom
# calculated density: 8.56 g/cm³
# energy: -2.14 eV per atom

=====

No. 2
# PBE-GGA CeInHg, optimized geometry
data_CeInHg
_chemical_formula_sum 'Ce1 In1 Hg1'
_space_group_name_H-M_alt 'P 1'
_space_group_IT_number 1
_cell_length_a 5.0010
_cell_length_b 5.0010
_cell_length_c 5.0010
_cell_angle_alpha 60.00
_cell_angle_beta 60.00
_cell_angle_gamma 60.00
loop_
_space_group_symop_operation_xyz
'x,y,z'
loop_
_atom_site_label
_atom_site_type_symbol
_atom_site_fract_x
_atom_site_fract_y
_atom_site_fract_z
Hg1 Hg 0.2500 0.2500 0.2500
Ce1 Ce 0.5000 0.5000 0.5000
In1 In 0.0000 0.0000 0.0000
# energy of formation: -0.310 eV/atom
# calculated density: 8.55 g/cm³
# energy: -3.30 eV per atom

=====

No. 3
# PBE-GGA CeInHg, optimized geometry
data_CeInHg
_chemical_formula_sum 'Ce1 In1 Hg1'
_space_group_name_H-M_alt 'P 1'
_space_group_IT_number 1
_cell_length_a 3.6190
_cell_length_b 3.6190
_cell_length_c 6.6269
_cell_angle_alpha 105.85
_cell_angle_beta 105.85
_cell_angle_gamma 90.00
loop_
_space_group_symop_operation_xyz
'x,y,z'
loop_
_atom_site_label
_atom_site_type_symbol
_atom_site_fract_x
_atom_site_fract_y
_atom_site_fract_z
Hg1 Hg 0.6727 0.6727 0.3454
Ce1 Ce 0.0045 0.0045 0.0090
In1 In 0.3228 0.3228 0.6456
# energy of formation: -0.242 eV/atom
# calculated density: 9.45 g/cm³
# energy: -3.23 eV per atom

=====

No. 4
# PBE-GGA CeInHg2, optimized geometry
data_CeInHg2
_chemical_formula_sum 'Ce1 In1 Hg2'
_space_group_name_H-M_alt 'P 1'
_space_group_IT_number 1
_cell_length_a 3.7505
_cell_length_b 3.7505
_cell_length_c 7.4610
_cell_angle_alpha 90.00
_cell_angle_beta 90.00
_cell_angle_gamma 90.00
loop_
_space_group_symop_operation_xyz
'x,y,z'
loop_
_atom_site_label
_atom_site_type_symbol
_atom_site_fract_x
_atom_site_fract_y
_atom_site_fract_z
Hg1 Hg 0.0000 0.0000 0.7604
Hg2 Hg 0.0000 0.0000 0.2396
Ce1 Ce 0.5000 0.5000 0.5000
In1 In 0.5000 0.5000 0.0000
# energy of formation: -0.228 eV/atom
# calculated density: 10.38 g/cm³
# energy: -2.55 eV per atom

=====

No. 5
# PBE-GGA Ce7In3Hg, optimized geometry
data_Ce7In3Hg
_chemical_formula_sum 'Ce7 In3 Hg1'
_space_group_name_H-M_alt 'P 1'
_space_group_IT_number 1
_cell_length_a 5.6994
_cell_length_b 8.2223
_cell_length_c 8.2223
_cell_angle_alpha 84.85
_cell_angle_beta 113.33
_cell_angle_gamma 113.33
loop_
_space_group_symop_operation_xyz
'x,y,z'
loop_
_atom_site_label
_atom_site_type_symbol
_atom_site_fract_x
_atom_site_fract_y
_atom_site_fract_z
Ce1 Ce 0.2131 0.1977 0.1977
Ce2 Ce 0.2841 0.0619 0.5686
Ce3 Ce 0.7159 0.4314 0.9381
Ce4 Ce 0.2841 0.5686 0.0619
Ce5 Ce 0.0000 0.5000 0.5000
Ce6 Ce 0.7159 0.9381 0.4314
Ce7 Ce 0.7869 0.8023 0.8023
In1 In 0.0000 0.7789 0.2211
In2 In 0.5000 0.0000 0.0000
In3 In 0.0000 0.2211 0.7789
Hg1 Hg 0.5000 0.5000 0.5000
# energy of formation: -0.095 eV/atom
# calculated density: 7.82 g/cm³
# energy: -4.65 eV per atom

=====

No. 6
# PBE-GGA Ce6InHg5, optimized geometry
data_Ce6InHg5
_chemical_formula_sum 'Ce6 In1 Hg5'
_space_group_name_H-M_alt 'P 1'
_space_group_IT_number 1
_cell_length_a 11.4055
_cell_length_b 5.5877
_cell_length_c 5.5944
_cell_angle_alpha 60.04
_cell_angle_beta 85.25
_cell_angle_gamma 80.46
loop_
_space_group_symop_operation_xyz
'x,y,z'
loop_
_atom_site_label
_atom_site_type_symbol
_atom_site_fract_x
_atom_site_fract_y
_atom_site_fract_z
Ce1 Ce 0.7492 0.0826 0.3348
Ce2 Ce 0.2508 0.5827 0.3348
Ce3 Ce 0.2504 0.2521 0.0000
Ce4 Ce 0.7496 0.7479 0.0000
Ce5 Ce 0.7492 0.4173 0.6652
Ce6 Ce 0.2508 0.9174 0.6652
In1 In 0.0000 0.0000 0.0000
Hg1 Hg 0.5000 0.1662 0.6676
Hg2 Hg 0.0000 0.3332 0.3336
Hg3 Hg 0.5000 0.5000 0.0000
Hg4 Hg 0.0000 0.6668 0.6664
Hg5 Hg 0.5000 0.8338 0.3324
# energy of formation: -0.147 eV/atom
# calculated density: 10.68 g/cm³
# energy: -3.47 eV per atom

=====

No. 7
# PBE-GGA CeIn2Hg3, optimized geometry
data_CeIn2Hg3
_chemical_formula_sum 'Ce2 In4 Hg6'
_space_group_name_H-M_alt 'P 1'
_space_group_IT_number 1
_cell_length_a 6.0080
_cell_length_b 9.3632
_cell_length_c 7.3537
_cell_angle_alpha 129.54
_cell_angle_beta 90.00
_cell_angle_gamma 90.00
loop_
_space_group_symop_operation_xyz
'x,y,z'
loop_
_atom_site_label
_atom_site_type_symbol
_atom_site_fract_x
_atom_site_fract_y
_atom_site_fract_z
Ce1 Ce 0.7500 0.2563 0.5126
Ce2 Ce 0.2500 0.7437 0.4874
In1 In 0.0000 0.6762 0.0000
In2 In 0.5000 0.3238 0.0000
In3 In 0.0000 0.3238 0.0000
In4 In 0.5000 0.6762 0.0000
Hg1 Hg 0.7500 0.9746 0.9492
Hg2 Hg 0.2500 0.0254 0.0508
Hg3 Hg 0.7500 0.9047 0.4827
Hg4 Hg 0.2500 0.0953 0.5173
Hg5 Hg 0.7500 0.5781 0.4827
Hg6 Hg 0.2500 0.4219 0.5173
# energy of formation: -0.142 eV/atom
# calculated density: 10.11 g/cm³
# energy: -2.19 eV per atom

=====

No. 8
# PBE-GGA Ce2InHg, optimized geometry
data_Ce2InHg
_chemical_formula_sum 'Ce2 In1 Hg1'
_space_group_name_H-M_alt 'P 1'
_space_group_IT_number 1
_cell_length_a 3.3461
_cell_length_b 3.3461
_cell_length_c 9.4271
_cell_angle_alpha 90.00
_cell_angle_beta 90.00
_cell_angle_gamma 90.00
loop_
_space_group_symop_operation_xyz
'x,y,z'
loop_
_atom_site_label
_atom_site_type_symbol
_atom_site_fract_x
_atom_site_fract_y
_atom_site_fract_z
Hg1 Hg 0.5000 0.5000 0.0000
Ce1 Ce 0.0000 0.0000 0.7537
Ce2 Ce 0.0000 0.0000 0.2463
In1 In 0.5000 0.5000 0.5000
# energy of formation: -0.334 eV/atom
# calculated density: 9.37 g/cm³
# energy: -4.06 eV per atom